Pm3Al5O12 | PBE-GGA | relaxed

a b c (Å): 12.205 12.205 12.205
angles (deg): 90.00 90.00 90.00
Space group Ia-3d (No. 230)
Unique sites:
Pm (0.000, 0.250, 0.125) (multiplicity 24)
Al (0.000, 0.000, 0.000) (multiplicity 16)
Al (0.000, 0.250, 0.375) (multiplicity 24)
O (0.033, 0.049, 0.648) (multiplicity 96)

Properties
volume: 11.4 A^3/atom
DFT total energy: -7.834 eV/atom

---

TbGdDy2Ir4 | PBE-GGA | relaxed

a b c (Å): 4.853 4.853 6.863
angles (deg): 90.00 90.00 90.00
Space group P4/mmm (No. 123)
Unique sites:
Tb (0.000, 0.000, 0.000) (multiplicity 1)
Gd (0.500, 0.500, 0.500) (multiplicity 1)
Dy (0.000, 0.000, 0.500) (multiplicity 1)
Dy (0.500, 0.500, 0.000) (multiplicity 1)
Ir (0.000, 0.500, 0.250) (multiplicity 4)

Properties
volume: 20.2 A^3/atom
formation energy: -0.791 eV/atom
DFT total energy: -7.529 eV/atom

---

YSnAu | PBE-GGA | relaxed

a b c (Å): 4.7111 4.7111 7.4199
angles (deg): 90.00 90.00 120.00
Space group P6_3mc (No. 186)
Unique sites:
Y (0.0000, 0.0000, 0.0000) (multiplicity 2)
Sn (0.3333, 0.6667, 0.2245) (multiplicity 2)
Au (0.3333, 0.6667, 0.8237) (multiplicity 2)

Properties
volume: 23.8 A^3/atom
DFT total energy: -5.413 eV/atom

---

Ta4NiB3 | PBE-GGA | relaxed

a b c (Å): 3.2349 3.2349 23.0952
angles (deg): 90.00 90.00 120.00
Space group P6_3/mmc (No. 194)
Unique sites:
Ta (0.0000, 0.0000, 0.1703) (multiplicity 4)
Ta (0.3333, 0.6667, 0.0566) (multiplicity 4)
Ni (0.3333, 0.6667, 0.2500) (multiplicity 2)
B (0.0000, 0.0000, 0.0000) (multiplicity 2)
B (0.3333, 0.6667, 0.6163) (multiplicity 4)

Properties
volume: 13.1 A^3/atom
DFT total energy: -9.591 eV/atom

---

GdY2SnPb6 | PBE-GGA | relaxed

a b c (Å): 4.550 27.062 4.611
angles (deg): 90.00 90.00 90.00
Space group Cmmm (No. 65)
Unique sites:
Gd (0.000, 0.000, 0.000) (multiplicity 2)
Y (0.000, 0.308, 0.500) (multiplicity 4)
Sn (0.000, 0.500, 0.500) (multiplicity 2)
Pb (0.000, 0.096, 0.500) (multiplicity 4)
Pb (0.000, 0.208, 0.000) (multiplicity 4)
Pb (0.000, 0.403, 0.000) (multiplicity 4)

Properties
volume: 28.4 A^3/atom
DFT total energy: -4.762 eV/atom

---

Li2MgGa2PdPt2 | PBE-GGA | relaxed

a b c (Å): 4.310 4.310 6.369
angles (deg): 90.00 90.00 90.00
Space group P-4m2 (No. 115)
Unique sites:
Li (0.000, 0.500, 0.238) (multiplicity 2)
Mg (0.500, 0.500, 0.500) (multiplicity 1)
Ga (0.000, 0.000, 0.500) (multiplicity 1)
Ga (0.500, 0.500, 0.000) (multiplicity 1)
Pd (0.000, 0.000, 0.000) (multiplicity 1)
Pt (0.000, 0.500, 0.737) (multiplicity 2)

Properties
volume: 14.8 A^3/atom
DFT total energy: -4.230 eV/atom

---

BaMgAgGe2 | PBE-GGA | relaxed

a b c (Å): 4.597 4.597 11.446
angles (deg): 90.00 90.00 90.00
Space group I-4m2 (No. 119)
Unique sites:
Ba (0.000, 0.000, 0.000) (multiplicity 2)
Mg (0.000, 0.500, 0.750) (multiplicity 2)
Ag (0.000, 0.500, 0.250) (multiplicity 2)
Ge (0.000, 0.000, 0.387) (multiplicity 4)

Properties
volume: 24.2 A^3/atom
DFT total energy: -3.539 eV/atom

---

CoGeOs2 | PBE-GGA | relaxed

a b c (Å): 6.053 6.053 6.053
angles (deg): 90.00 90.00 90.00
Space group F-43m (No. 216)
Unique sites:
Co (0.000, 0.000, 0.000) (multiplicity 4)
Ge (0.250, 0.250, 0.750) (multiplicity 4)
Os (0.000, 0.000, 0.500) (multiplicity 4)
Os (0.250, 0.250, 0.250) (multiplicity 4)

Properties
volume: 13.9 A^3/atom
DFT total energy: -8.095 eV/atom

---

Li2Zr2SiSnIr2 | PBE-GGA | relaxed

a b c (Å): 4.477 4.477 6.384
angles (deg): 90.00 90.00 90.00
Space group P-4m2 (No. 115)
Unique sites:
Li (0.000, 0.500, 0.231) (multiplicity 2)
Zr (0.000, 0.000, 0.000) (multiplicity 1)
Zr (0.500, 0.500, 0.500) (multiplicity 1)
Si (0.500, 0.500, 0.000) (multiplicity 1)
Sn (0.000, 0.000, 0.500) (multiplicity 1)
Ir (0.000, 0.500, 0.764) (multiplicity 2)

Properties
volume: 16.0 A^3/atom
DFT total energy: -6.776 eV/atom

---

Ba2NdOsN6 | PBE-GGA | relaxed

a b c (Å): 6.105 6.109 6.134
angles (deg): 60.15 60.17 89.98
Space group P-1 (No. 2)
Unique sites:
Ba (0.250, 0.250, 0.000) (multiplicity 2)
Nd (0.000, 0.500, 0.500) (multiplicity 1)
Os (0.500, 0.000, 0.500) (multiplicity 1)
N (0.253, 0.801, 0.499) (multiplicity 2)
N (0.273, 0.775, 0.952) (multiplicity 2)
N (0.302, 0.248, 0.498) (multiplicity 2)

Properties
volume: 16.3 A^3/atom
offset from the most stable computed form: 0.0 meV/atom
DFT total energy: -6.918 eV/atom

---

LuBe2Sn | PBE-GGA | relaxed

a b c (Å): 6.596 6.596 6.596
angles (deg): 90.00 90.00 90.00
Space group F-43m (No. 216)
Unique sites:
Lu (0.000, 0.000, 0.000) (multiplicity 4)
Be (0.000, 0.000, 0.500) (multiplicity 4)
Be (0.250, 0.250, 0.250) (multiplicity 4)
Sn (0.250, 0.250, 0.750) (multiplicity 4)

Properties
volume: 17.9 A^3/atom
DFT total energy: -3.605 eV/atom

---

Sn2MoOs | PBE-GGA | relaxed

a b c (Å): 6.671 6.671 6.671
angles (deg): 90.00 90.00 90.00
Space group F-43m (No. 216)
Unique sites:
Sn (0.000, 0.000, 0.000) (multiplicity 4)
Sn (0.250, 0.250, 0.250) (multiplicity 4)
Mo (0.250, 0.250, 0.750) (multiplicity 4)
Os (0.000, 0.000, 0.500) (multiplicity 4)

Properties
volume: 18.6 A^3/atom
DFT total energy: -6.863 eV/atom

---

Tm3Zn3CuPtAu | PBE-GGA | relaxed

a b c (Å): 7.2528 7.2528 3.7794
angles (deg): 90.00 90.00 120.00
Space group P-6 (No. 174)
Unique sites:
Tm (0.0101, 0.4121, 0.0000) (multiplicity 3)
Zn (0.0028, 0.7601, 0.5000) (multiplicity 3)
Cu (0.0000, 0.0000, 0.0000) (multiplicity 1)
Pt (0.3333, 0.6667, 0.5000) (multiplicity 1)
Au (0.6667, 0.3333, 0.5000) (multiplicity 1)

Properties
volume: 19.1 A^3/atom
formation energy: -0.704 eV/atom
DFT total energy: -4.066 eV/atom

---

NaErO3 | PBE-GGA | relaxed

a b c (Å): 5.8329 5.8329 14.9254
angles (deg): 90.00 90.00 120.00
Space group R-3 (No. 148, hexagonal axes)
Unique sites:
Na (0.0000, 0.0000, 0.1374) (multiplicity 6)
Er (0.0000, 0.0000, 0.3552) (multiplicity 6)
O (0.0129, 0.7217, 0.2569) (multiplicity 18)

Properties
volume: 14.7 A^3/atom
DFT total energy: -5.961 eV/atom

---

LaHoBiO2 | PBE-GGA | relaxed

a b c (Å): 3.944 3.944 13.731
angles (deg): 90.00 90.00 90.00
Space group I4mm (No. 107)
Unique sites:
La (0.000, 0.000, 0.000) (multiplicity 2)
Ho (0.000, 0.000, 0.669) (multiplicity 2)
Bi (0.000, 0.000, 0.330) (multiplicity 2)
O (0.000, 0.500, 0.093) (multiplicity 4)

Properties
volume: 21.4 A^3/atom
DFT total energy: -7.377 eV/atom

---

ScCuGeSe3 | PBE-GGA | relaxed

a b c (Å): 11.695 3.902 11.295
angles (deg): 90.00 90.00 90.00
Space group Pnma (No. 62)
Unique sites:
Sc (0.029, 0.250, 0.173) (multiplicity 4)
Cu (0.232, 0.750, 0.331) (multiplicity 4)
Ge (0.170, 0.250, 0.527) (multiplicity 4)
Se (0.029, 0.750, 0.350) (multiplicity 4)
Se (0.094, 0.250, 0.934) (multiplicity 4)
Se (0.238, 0.750, 0.683) (multiplicity 4)

Properties
volume: 21.5 A^3/atom
offset from the most stable computed form: 49.4 meV/atom
DFT total energy: -4.889 eV/atom

---

LuCdCuGe | PBE-GGA | relaxed

a b c (Å): 6.739 6.739 6.739
angles (deg): 90.00 90.00 90.00
Space group F-43m (No. 216)
Unique sites:
Lu (0.000, 0.000, 0.000) (multiplicity 4)
Cd (0.250, 0.250, 0.750) (multiplicity 4)
Cu (0.000, 0.000, 0.500) (multiplicity 4)
Ge (0.250, 0.250, 0.250) (multiplicity 4)

Properties
volume: 19.1 A^3/atom
offset from the most stable computed form: 0.0 meV/atom
DFT total energy: -3.590 eV/atom

---

SrPmSc | PBE-GGA | relaxed

a b c (Å): 7.909 7.909 7.909
angles (deg): 90.00 90.00 90.00
Space group F-43m (No. 216)
Unique sites:
Sr (0.000, 0.000, 0.000) (multiplicity 4)
Pm (0.000, 0.000, 0.500) (multiplicity 4)
Sc (0.250, 0.250, 0.750) (multiplicity 4)

Properties
volume: 41.2 A^3/atom
offset from the most stable computed form: 0.0 meV/atom
DFT total energy: -3.474 eV/atom

---

Li4SiNi2Sn | PBE-GGA | relaxed

a b c (Å): 4.127 4.127 6.032
angles (deg): 90.00 90.00 90.00
Space group P-4m2 (No. 115)
Unique sites:
Li (0.000, 0.000, 0.000) (multiplicity 1)
Li (0.000, 0.500, 0.226) (multiplicity 2)
Li (0.500, 0.500, 0.500) (multiplicity 1)
Si (0.500, 0.500, 0.000) (multiplicity 1)
Ni (0.000, 0.500, 0.781) (multiplicity 2)
Sn (0.000, 0.000, 0.500) (multiplicity 1)

Properties
volume: 12.8 A^3/atom
DFT total energy: -3.876 eV/atom

---

Ta4FePbC2 | PBE-GGA | relaxed

a b c (Å): 3.1447 3.1447 13.9124
angles (deg): 90.00 90.00 120.00
Space group P-6m2 (No. 187)
Unique sites:
Ta (0.0000, 0.0000, 0.1403) (multiplicity 2)
Ta (0.3333, 0.6667, 0.3192) (multiplicity 2)
Fe (0.3333, 0.6667, 0.0000) (multiplicity 1)
Pb (0.0000, 0.0000, 0.5000) (multiplicity 1)
C (0.6667, 0.3333, 0.2304) (multiplicity 2)

Properties
volume: 14.9 A^3/atom
DFT total energy: -9.905 eV/atom

---

Dy3SnPd4 | PBE-GGA | relaxed

a b c (Å): 5.535 4.525 6.772
angles (deg): 90.00 90.65 90.00
Space group Pm (No. 6)
Unique sites:
Dy (0.000, 0.000, 0.000) (multiplicity 1)
Dy (0.222, 0.000, 0.497) (multiplicity 1)
Dy (0.712, 0.500, 0.636) (multiplicity 1)
Sn (0.496, 0.500, 0.148) (multiplicity 1)
Pd (0.011, 0.500, 0.275) (multiplicity 1)
Pd (0.205, 0.500, 0.783) (multiplicity 1)
Pd (0.507, 0.000, 0.884) (multiplicity 1)
Pd (0.700, 0.000, 0.347) (multiplicity 1)

Properties
volume: 21.2 A^3/atom
DFT total energy: -5.678 eV/atom